Entry 1:
ReHgAs2 | PBE-GGA | optimized geometry

Cell lengths 5.8590, 7.3893, 3.3170 Å; angles 90.00, 90.17, 90.00 degrees
With the nearest neighbours (Å) after each atom.
Space group C2/m (No. 12)
Symmetry-distinct sites (fractional):
Re  0.0000  0.0000  0.0000 (multiplicity 2)  8 As 2.88, 2 Hg 2.93
Hg  0.0000  0.5000  0.0000 (multiplicity 2)  8 As 2.88, 2 Re 2.93
As  0.2500  0.2500  0.5000 (multiplicity 4)  4 Hg 2.88, 4 Re 2.88, 2 As 2.93

Results
DFT formation energy: 0.817 eV per atom



Entry 2:
YRe2C | PBE-GGA | optimized geometry

Cell lengths 4.9328, 4.9328, 13.1434 Å; angles 90.00, 90.00, 90.00 degrees
With the nearest neighbours (Å) after each atom.
Space group I-42d (No. 122)
Symmetry-distinct sites (fractional):
Y  0.0000  0.0000  0.0000 (multiplicity 4)  8 Re 3.11-3.31
Re  0.0274  0.2500  0.6250 (multiplicity 8)  2 C 2.06
C  0.0000  0.0000  0.5000 (multiplicity 4)  4 Re 2.06

Results
DFT formation energy: 0.782 eV per atom



Entry 3:
Tb4InCu3 | PBE-GGA | optimized geometry

Cell lengths 5.0449, 5.0449, 24.7007 Å; angles 90.00, 90.00, 120.00 degrees
With the nearest neighbours (Å) after each atom.
Space group R-3m (No. 166, hexagonal axes)
Symmetry-distinct sites (fractional):
Tb  0.0000  0.0000  0.1178 (multiplicity 6)  5 Cu 2.91-3.12, 3 In 3.15
Tb  0.0000  0.0000  0.3690 (multiplicity 6)  7 Cu 3.04-3.20, 1 In 3.24, 3 Tb 3.40
In  0.0000  0.0000  0.5000 (multiplicity 3)  8 Tb 3.15-3.24, 6 Cu 3.49
Cu  0.0000  0.0000  0.0000 (multiplicity 3)  8 Tb 2.91-3.04
Cu  0.0000  0.0000  0.2442 (multiplicity 6)  8 Tb 3.00-3.20

Results
DFT formation energy: -0.275 eV per atom



Look up the DFT formation energy of the third one. -0.275 eV per atom



What did the first record say?
ReHgAs2 | PBE-GGA | optimized geometry

Cell lengths 5.8590, 7.3893, 3.3170 Å; angles 90.00, 90.17, 90.00 degrees
With the nearest neighbours (Å) after each atom.
Space group C2/m (No. 12)
Symmetry-distinct sites (fractional):
Re  0.0000  0.0000  0.0000 (multiplicity 2)  8 As 2.88, 2 Hg 2.93
Hg  0.0000  0.5000  0.0000 (multiplicity 2)  8 As 2.88, 2 Re 2.93
As  0.2500  0.2500  0.5000 (multiplicity 4)  4 Hg 2.88, 4 Re 2.88, 2 As 2.93

Results
DFT formation energy: 0.817 eV per atom



Which value of DFT formation energy does entry 3 give? -0.275 eV per atom



What did the third record say?
Tb4InCu3 | PBE-GGA | optimized geometry

Cell lengths 5.0449, 5.0449, 24.7007 Å; angles 90.00, 90.00, 120.00 degrees
With the nearest neighbours (Å) after each atom.
Space group R-3m (No. 166, hexagonal axes)
Symmetry-distinct sites (fractional):
Tb  0.0000  0.0000  0.1178 (multiplicity 6)  5 Cu 2.91-3.12, 3 In 3.15
Tb  0.0000  0.0000  0.3690 (multiplicity 6)  7 Cu 3.04-3.20, 1 In 3.24, 3 Tb 3.40
In  0.0000  0.0000  0.5000 (multiplicity 3)  8 Tb 3.15-3.24, 6 Cu 3.49
Cu  0.0000  0.0000  0.0000 (multiplicity 3)  8 Tb 2.91-3.04
Cu  0.0000  0.0000  0.2442 (multiplicity 6)  8 Tb 3.00-3.20

Results
DFT formation energy: -0.275 eV per atom